# LiTiGeAu

Crystalline LiTiGeAu at its relaxed geometry (GGA-PBE, Alexandria via LeMat-Bulk).

a = 6.3527 Å, b = 6.3527 Å, c = 6.3527 Å
α = 90.00°, β = 90.00°, γ = 90.00°
Space group F-43m (No. 216)
Symmetry-distinct sites (fractional):
1 Li 0.0000 0.0000 0.0000 [4 per cell]
2 Ti 0.0000 0.0000 0.5000 [4 per cell]
3 Ge 0.2500 0.2500 0.2500 [4 per cell]
4 Au 0.2500 0.2500 0.7500 [4 per cell]

DFT total energy in eV/atom: -4.8335
E_form in eV/atom: -0.4077
DOS at the Fermi energy in states/eV/f.u.: 2.52


# Ba4Tl2F

Crystalline Ba4Tl2F at its relaxed geometry (GGA-PBE, Alexandria via LeMat-Bulk).

a = 8.3423 Å, b = 8.2695 Å, c = 9.1485 Å
α = 90.00°, β = 105.42°, γ = 90.00°
Space group P2_1/m (No. 11)
Symmetry-distinct sites (fractional):
1 Ba 0.0089 0.0116 0.2493 [4 per cell]
2 Ba 0.4086 0.2500 0.5921 [2 per cell]
3 Ba 0.4299 0.2500 0.1207 [2 per cell]
4 Tl 0.2283 0.7500 0.5462 [2 per cell]
5 Tl 0.2419 0.7500 0.0703 [2 per cell]
6 F 0.2332 0.2500 0.3051 [2 per cell]

DFT total energy in eV/atom: -3.0597
DOS at the Fermi energy in states/eV/f.u.: 9.24
ΔE_f (raw) in eV per formula unit: -7.123


Which of these has the lowest DFT total energy? LiTiGeAu